1.
First-principles (PBE) data for a relaxed structure of Pr6NdSm2Tm, as listed in Alexandria via LeMat-Bulk.

abc: 9.0439 9.0439 9.8440
angles: 94.06 94.06 117.72
Closest atoms and distances in Å follow each position.
Atoms (fractional coordinates):
Pr: 0.0085 0.5671 0.1897  3 Pr 3.36-3.71, 1 Tm 3.49, 1 Sm 3.51, 1 Nd 3.66
Pr: 0.1184 0.7548 0.5537  7 Pr 3.50-3.88, 1 Sm 3.58, 1 Nd 3.71
Pr: 0.2452 0.8816 0.9463  7 Pr 3.50-3.88, 1 Sm 3.58, 1 Nd 3.71
Pr: 0.2943 0.5075 0.3822  3 Sm 3.32-3.54, 4 Pr 3.36-3.68, 2 Tm 3.47-3.62
Pr: 0.4329 0.9915 0.3103  3 Pr 3.36-3.71, 1 Tm 3.49, 1 Sm 3.51, 1 Nd 3.66
Pr: 0.4925 0.7057 0.1178  3 Sm 3.32-3.54, 4 Pr 3.36-3.68, 2 Tm 3.47-3.62
Pr: 0.5075 0.2943 0.8822  3 Sm 3.32-3.54, 4 Pr 3.36-3.68, 2 Tm 3.47-3.62
Pr: 0.5671 0.0085 0.6897  3 Pr 3.36-3.71, 1 Tm 3.49, 1 Sm 3.51, 1 Nd 3.66
Pr: 0.7057 0.4925 0.6178  3 Sm 3.32-3.54, 4 Pr 3.36-3.68, 2 Tm 3.47-3.62
Pr: 0.7548 0.1184 0.0537  7 Pr 3.50-3.88, 1 Sm 3.58, 1 Nd 3.71
Pr: 0.8816 0.2452 0.4463  7 Pr 3.50-3.88, 1 Sm 3.58, 1 Nd 3.71
Pr: 0.9915 0.4329 0.8103  3 Pr 3.36-3.71, 1 Tm 3.49, 1 Sm 3.51, 1 Nd 3.66
Nd: 0.0223 0.9777 0.2500  4 Sm 3.47-3.49, 4 Pr 3.66-3.71
Nd: 0.9777 0.0223 0.7500  4 Sm 3.47-3.49, 4 Pr 3.66-3.71
Sm: 0.1999 0.2983 0.0450  5 Pr 3.32-3.58, 2 Nd 3.47-3.49, 1 Tm 3.59
Sm: 0.2983 0.1999 0.5450  5 Pr 3.32-3.58, 2 Nd 3.47-3.49, 1 Tm 3.59
Sm: 0.7017 0.8001 0.4550  5 Pr 3.32-3.58, 2 Nd 3.47-3.49, 1 Tm 3.59
Sm: 0.8001 0.7017 0.9550  5 Pr 3.32-3.58, 2 Nd 3.47-3.49, 1 Tm 3.59
Tm: 0.4108 0.5892 0.7500  6 Pr 3.47-3.62, 2 Sm 3.59
Tm: 0.5892 0.4108 0.2500  6 Pr 3.47-3.62, 2 Sm 3.59

Symmetry: C2/c, No. 15
DOS(E_F) (states/eV per atom): 1.45
Energy of formation (meV per atom): 111

2.
First-principles (PBE) data for a relaxed structure of SnAuN2, as listed in Alexandria via LeMat-Bulk.

abc: 6.0416 6.0416 6.0416
angles: 129.71 129.71 73.86
Closest atoms and distances in Å follow each position.
Atoms (fractional coordinates):
Sn: 0.0000 0.0000 0.0000  4 N 2.10
Sn: 0.7500 0.2500 0.5000  4 N 2.10
Au: 0.2500 0.7500 0.5000  4 N 2.26
Au: 0.5000 0.5000 0.0000  4 N 2.26
N: 0.0985 0.6250 0.9735  2 Sn 2.10, 2 Au 2.26
N: 0.3750 0.3485 0.4735  2 Sn 2.10, 2 Au 2.26
N: 0.6515 0.1250 0.0265  2 Sn 2.10, 2 Au 2.26
N: 0.8750 0.9015 0.5265  2 Sn 2.10, 2 Au 2.26

E_form (uncorrected) (eV per atom): 0.8332
Symmetry: I-42d, No. 122
DOS(E_F) (states/eV per atom): 0.74

3.
First-principles (PBE) data for a relaxed structure of Ac3TbHo2Se6, as listed in Alexandria via LeMat-Bulk.

abc: 7.2073 7.2073 7.7214
angles: 98.96 98.96 120.12
Closest atoms and distances in Å follow each position.
Atoms (fractional coordinates):
Ac: 0.0000 0.0000 0.0000  6 Se 3.16-3.17
Ac: 0.3343 0.6657 0.0000  6 Se 3.16-3.17
Ac: 0.6657 0.3343 0.0000  6 Se 3.16-3.17
Tb: 0.5000 0.5000 0.5000  6 Se 2.90
Ho: 0.1667 0.8333 0.5000  6 Se 2.88
Ho: 0.8333 0.1667 0.5000  6 Se 2.88
Se: 0.0915 0.4273 0.2814  2 Ho 2.88, 1 Tb 2.90, 3 Ac 3.16-3.17
Se: 0.2367 0.2367 0.7178  2 Ho 2.88, 1 Tb 2.90, 3 Ac 3.16-3.17
Se: 0.4273 0.0915 0.2814  2 Ho 2.88, 1 Tb 2.90, 3 Ac 3.16-3.17
Se: 0.5727 0.9085 0.7186  2 Ho 2.88, 1 Tb 2.90, 3 Ac 3.16-3.17
Se: 0.7633 0.7633 0.2822  2 Ho 2.88, 1 Tb 2.90, 3 Ac 3.16-3.17
Se: 0.9085 0.5727 0.7186  2 Ho 2.88, 1 Tb 2.90, 3 Ac 3.16-3.17

E_form (uncorrected) (eV per atom): -1.7989
Symmetry: C2/m, No. 12
DOS(E_F) (states/eV per atom): 0.39

4.
First-principles (PBE) data for a relaxed structure of TlW2Au, as listed in Alexandria via LeMat-Bulk.

abc: 3.4882 3.4882 6.1524
angles: 90.00 90.00 90.00
Closest atoms and distances in Å follow each position.
Atoms (fractional coordinates):
Tl: 0.0000 0.0000 0.0000  8 W 3.06, 2 Au 3.08
W: 0.5000 0.5000 0.2940  1 W 2.54, 4 Au 2.77
W: 0.5000 0.5000 0.7060  1 W 2.54, 4 Au 2.77
Au: 0.0000 0.0000 0.5000  8 W 2.77, 2 Tl 3.08

Symmetry: P4/mmm, No. 123
Energy relative to the lowest polymorph listed for this composition (eV per atom): 0.485
DOS(E_F) (states/eV per atom): 0.87
Energy of formation (meV per atom): 994

5.
First-principles (PBE) data for a relaxed structure of RbHfTe2Cl, as listed in Alexandria via LeMat-Bulk.

abc: 5.6913 5.6913 5.1101
angles: 90.00 90.00 90.00
Closest atoms and distances in Å follow each position.
Atoms (fractional coordinates):
Rb: 0.0000 0.0000 0.0000  8 Te 3.82, 4 Cl 4.02
Hf: 0.5000 0.5000 0.5000  2 Cl 2.56, 4 Te 2.85
Te: 0.0000 0.5000 0.5000  2 Hf 2.85
Te: 0.5000 0.0000 0.5000  2 Hf 2.85
Cl: 0.5000 0.5000 0.0000  2 Hf 2.56

E_form (uncorrected) (eV per atom): -1.0710
Symmetry: P4/mmm, No. 123
DOS(E_F) (states/eV per atom): 0.32

6.
First-principles (PBE) data for a relaxed structure of BaNdPd2, as listed in Alexandria via LeMat-Bulk.

abc: 5.3004 5.3004 5.3004
angles: 60.00 60.00 60.00
Closest atoms and distances in Å follow each position.
Atoms (fractional coordinates):
Ba: 0.0000 0.0000 0.0000  8 Pd 3.25
Nd: 0.5000 0.5000 0.5000  8 Pd 3.25
Pd: 0.2500 0.2500 0.2500  4 Ba 3.25, 4 Nd 3.25
Pd: 0.7500 0.7500 0.7500  4 Ba 3.25, 4 Nd 3.25

Symmetry: Fm-3m, No. 225
Energy relative to the lowest polymorph listed for this composition (eV per atom): 0.134
DOS(E_F) (states/eV per atom): 0.48
Energy of formation (meV per atom): -512

7.
First-principles (PBE) data for a relaxed structure of ThGaTc2, as listed in Alexandria via LeMat-Bulk.

abc: 4.4773 4.4773 3.6524
angles: 90.00 90.00 90.00
Closest atoms and distances in Å follow each position.
Atoms (fractional coordinates):
Th: 0.0000 0.0000 0.0000  8 Tc 2.89, 4 Ga 3.17
Ga: 0.5000 0.5000 0.0000  8 Tc 2.89, 4 Th 3.17
Tc: 0.0000 0.5000 0.5000  4 Th 2.89, 4 Ga 2.89, 4 Tc 3.17
Tc: 0.5000 0.0000 0.5000  4 Th 2.89, 4 Ga 2.89, 4 Tc 3.17

Symmetry: P4/mmm, No. 123
Energy relative to the lowest polymorph listed for this composition (eV per atom): 0.030
DOS(E_F) (states/eV per atom): 1.43
Energy of formation (meV per atom): -29

8.
First-principles (PBE) data for a relaxed structure of LuCuHg2, as listed in Alexandria via LeMat-Bulk.

abc: 3.4036 3.4036 7.0604
angles: 90.00 90.00 90.00
Closest atoms and distances in Å follow each position.
Atoms (fractional coordinates):
Lu: 0.0000 0.0000 0.0000  8 Hg 3.12, 4 Lu 3.40
Cu: 0.0000 0.0000 0.5000  8 Hg 2.86
Hg: 0.5000 0.5000 0.2812  4 Cu 2.86, 1 Hg 3.09, 4 Lu 3.12
Hg: 0.5000 0.5000 0.7188  4 Cu 2.86, 1 Hg 3.09, 4 Lu 3.12

Symmetry: P4/mmm, No. 123
Energy relative to the lowest polymorph listed for this composition (eV per atom): 0.061
DOS(E_F) (states/eV per atom): 0.57
Energy of formation (meV per atom): -137

9.
First-principles (PBE) data for a relaxed structure of SmDy2V, as listed in Alexandria via LeMat-Bulk.

abc: 11.6640 11.6640 11.6640
angles: 16.68 16.68 16.68
Closest atoms and distances in Å follow each position.
Atoms (fractional coordinates):
Sm: 0.0000 0.0000 0.0000  6 Sm 3.38, 6 Dy 3.54
Dy: 0.4189 0.4189 0.4189  1 V 2.80
Dy: 0.5811 0.5811 0.5811  1 V 2.80
V: 0.5000 0.5000 0.5000  2 Dy 2.80

Symmetry: R-3m, No. 166
DOS(E_F) (states/eV per atom): 1.52
Energy of formation (meV per atom): 612

10.
First-principles (PBE) data for a relaxed structure of Nd3TmHg, as listed in Alexandria via LeMat-Bulk.

abc: 6.8860 6.8860 8.0999
angles: 108.05 108.05 66.95
Closest atoms and distances in Å follow each position.
Atoms (fractional coordinates):
Nd: 0.0493 0.0493 0.2328  2 Hg 3.42-3.66, 7 Nd 3.51-3.66, 2 Tm 3.80
Nd: 0.0911 0.5818 0.3546  2 Hg 3.27-3.29, 5 Nd 3.53-3.66, 3 Tm 3.54-3.57
Nd: 0.4182 0.9089 0.6454  2 Hg 3.27-3.29, 5 Nd 3.53-3.66, 3 Tm 3.54-3.57
Nd: 0.5818 0.0911 0.3546  2 Hg 3.27-3.29, 5 Nd 3.53-3.66, 3 Tm 3.54-3.57
Nd: 0.9089 0.4182 0.6454  2 Hg 3.27-3.29, 5 Nd 3.53-3.66, 3 Tm 3.54-3.57
Nd: 0.9507 0.9507 0.7672  2 Hg 3.42-3.66, 7 Nd 3.51-3.66, 2 Tm 3.80
Tm: 0.4404 0.4404 0.7588  2 Hg 3.20-3.25, 6 Nd 3.54-3.57
Tm: 0.5596 0.5596 0.2412  2 Hg 3.20-3.25, 6 Nd 3.54-3.57
Hg: 0.2674 0.2674 0.9985  2 Tm 3.20-3.25, 5 Nd 3.27-3.42
Hg: 0.7326 0.7326 0.0015  2 Tm 3.20-3.25, 5 Nd 3.27-3.42

Symmetry: C2/m, No. 12
Energy relative to the lowest polymorph listed for this composition (eV per atom): 0.000
DOS(E_F) (states/eV per atom): 1.02
Energy of formation (meV per atom): -91

11.
First-principles (PBE) data for a relaxed structure of LiDy2Tm3S6, as listed in Alexandria via LeMat-Bulk.

abc: 8.6283 8.6283 7.7133
angles: 102.92 102.92 25.79
Closest atoms and distances in Å follow each position.
Atoms (fractional coordinates):
Li: 0.0000 0.0000 0.0000  6 S 2.70
Dy: 0.3314 0.3314 0.6604  6 S 2.73-2.78
Dy: 0.6686 0.6686 0.3396  6 S 2.73-2.78
Tm: 0.0000 0.0000 0.5000  6 S 2.68-2.75
Tm: 0.3345 0.3345 0.1711  6 S 2.68-2.77
Tm: 0.6655 0.6655 0.8289  6 S 2.68-2.77
S: 0.1637 0.1637 0.5872  3 Tm 2.68, 3 Dy 2.73-2.75
S: 0.1652 0.1652 0.0779  1 Li 2.70, 3 Tm 2.72-2.77, 2 Dy 2.78
S: 0.4996 0.4996 0.2461  2 Li 2.70, 3 Tm 2.71-2.75, 1 Dy 2.77
S: 0.5004 0.5004 0.7539  2 Li 2.70, 3 Tm 2.71-2.75, 1 Dy 2.77
S: 0.8348 0.8348 0.9221  1 Li 2.70, 3 Tm 2.72-2.77, 2 Dy 2.78
S: 0.8363 0.8363 0.4128  3 Tm 2.68, 3 Dy 2.73-2.75

E_form (uncorrected) (eV per atom): -1.9439
Symmetry: C2/m, No. 12
DOS(E_F) (states/eV per atom): 0.27

12.
First-principles (PBE) data for a relaxed structure of CdFe2Pt, as listed in Alexandria via LeMat-Bulk.

abc: 3.8998 3.8998 3.9453
angles: 90.00 90.00 90.00
Closest atoms and distances in Å follow each position.
Atoms (fractional coordinates):
Cd: 0.0000 0.0000 0.0000  4 Pt 2.76, 8 Fe 2.77
Fe: 0.0000 0.5000 0.5000  4 Fe 2.76, 4 Cd 2.77, 4 Pt 2.77
Fe: 0.5000 0.0000 0.5000  4 Fe 2.76, 4 Cd 2.77, 4 Pt 2.77
Pt: 0.5000 0.5000 0.0000  4 Cd 2.76, 8 Fe 2.77

Symmetry: P4/mmm, No. 123
DOS(E_F) (states/eV per atom): 0.72
Energy of formation (meV per atom): 55

13.
First-principles (PBE) data for a relaxed structure of NbGa2SbCl, as listed in Alexandria via LeMat-Bulk.

abc: 5.6804 5.6804 5.4042
angles: 90.00 90.00 90.00
Closest atoms and distances in Å follow each position.
Atoms (fractional coordinates):
Nb: 0.0000 0.0000 0.0000  2 Sb 2.70
Ga: 0.0000 0.5000 0.5000  2 Sb 2.84
Ga: 0.5000 0.0000 0.5000  2 Sb 2.84
Sb: 0.0000 0.0000 0.5000  2 Nb 2.70, 4 Ga 2.84
Cl: 0.5000 0.5000 0.0000  8 Ga 3.92, 4 Nb 4.02

E_form (uncorrected) (eV per atom): 0.7937
Symmetry: P4/mmm, No. 123
DOS(E_F) (states/eV per atom): 0.80

14.
First-principles (PBE) data for a relaxed structure of CsIr2Pt, as listed in Alexandria via LeMat-Bulk.

abc: 9.6683 9.6683 9.6683
angles: 150.11 150.11 42.79
Closest atoms and distances in Å follow each position.
Atoms (fractional coordinates):
Cs: 0.0000 0.0000 0.0000  4 Pt 3.53, 8 Ir 3.53-3.64
Cs: 0.7500 0.2500 0.5000  4 Pt 3.53, 8 Ir 3.53-3.64
Ir: 0.3593 0.6250 0.2343  2 Ir 2.50, 2 Pt 2.57
Ir: 0.3750 0.6093 0.7343  2 Ir 2.50, 2 Pt 2.57
Ir: 0.3907 0.1250 0.7657  2 Ir 2.50, 2 Pt 2.57
Ir: 0.8750 0.6407 0.2657  2 Ir 2.50, 2 Pt 2.57
Pt: 0.2500 0.7500 0.5000  4 Ir 2.57
Pt: 0.5000 0.5000 0.0000  4 Ir 2.57

Symmetry: I-42d, No. 122
DOS(E_F) (states/eV per atom): 1.43
Energy of formation (meV per atom): 837

15.
First-principles (PBE) data for a relaxed structure of YTaRe, as listed in Alexandria via LeMat-Bulk.

abc: 4.5682 4.5682 4.5682
angles: 60.00 60.00 60.00
Closest atoms and distances in Å follow each position.
Atoms (fractional coordinates):
Y: 0.0000 0.0000 0.0000  4 Ta 2.80, 4 Re 2.80
Ta: 0.7500 0.7500 0.7500  4 Y 2.80
Re: 0.2500 0.2500 0.2500  4 Y 2.80

Symmetry: F-43m, No. 216
Energy relative to the lowest polymorph listed for this composition (eV per atom): 1.711
DOS(E_F) (states/eV per atom): 1.27
Energy of formation (meV per atom): 1775

16.
First-principles (PBE) data for a relaxed structure of LiLaPrNd, as listed in Alexandria via LeMat-Bulk.

abc: 3.6427 3.6427 11.6369
angles: 90.00 90.00 120.00
Closest atoms and distances in Å follow each position.
Atoms (fractional coordinates):
Li: 0.0000 0.0000 0.0000  3 Pr 3.49, 3 La 3.54, 6 Li 3.64
La: 0.6667 0.3333 0.2451  3 Li 3.54, 6 La 3.64, 3 Nd 3.68
Pr: 0.3333 0.6667 0.7607  3 Li 3.49, 6 Pr 3.64, 3 Nd 3.65
Nd: 0.0000 0.0000 0.5044  6 Nd 3.64, 3 Pr 3.65, 3 La 3.68

Symmetry: P3m1, No. 156
Energy relative to the lowest polymorph listed for this composition (eV per atom): 0.000
DOS(E_F) (states/eV per atom): 0.94
Energy of formation (meV per atom): 74

17.
First-principles (PBE) data for a relaxed structure of La2ReRu, as listed in Alexandria via LeMat-Bulk.

abc: 8.9202 8.9202 8.9202
angles: 22.67 22.67 22.67
Closest atoms and distances in Å follow each position.
Atoms (fractional coordinates):
La: 0.2483 0.2483 0.2483  3 Ru 2.94, 3 Re 3.00
La: 0.7517 0.7517 0.7517  3 Ru 2.94, 3 Re 3.00
Re: 0.0000 0.0000 0.0000  6 La 3.00
Ru: 0.5000 0.5000 0.5000  6 La 2.94

Symmetry: R-3m, No. 166
Energy relative to the lowest polymorph listed for this composition (eV per atom): 0.561
DOS(E_F) (states/eV per atom): 1.54
Energy of formation (meV per atom): 577

18.
First-principles (PBE) data for a relaxed structure of MnRhPb2, as listed in Alexandria via LeMat-Bulk.

abc: 4.2746 5.5911 5.5911
angles: 38.90 90.00 90.00
Closest atoms and distances in Å follow each position.
Atoms (fractional coordinates):
Mn: 0.0000 0.0000 0.0000  2 Rh 2.61, 1 Pb 2.92
Rh: 0.5000 0.8573 0.8573  2 Mn 2.61
Pb: 0.0000 0.2769 0.2769  3 Mn 2.92-3.00, 4 Rh 2.96
Pb: 0.5000 0.5727 0.5727  3 Rh 2.94-3.00, 4 Mn 2.94

Symmetry: Amm2, No. 38
Energy relative to the lowest polymorph listed for this composition (eV per atom): 0.081
DOS(E_F) (states/eV per atom): 0.75
Energy of formation (meV per atom): 151